No. 1
# LiIrW2Se

LiIrW2Se after structural relaxation (PBE-GGA, the Alexandria database).

As for the crystal system: tetragonal. The total energy is -33.13 eV/cell. As for the uncorrected formation energy: 1.41 eV per atom.

The structure belongs to space group P4/mmm (No. 123); the cell edges are 4.6124, 4.6124 and 4.6237 Å and the angles 90.00°, 90.00° and 90.00°. The distinct sites, in fractional coordinates, are Li at (0.0000, 0.0000, 0.0000), Ir at (0.5000, 0.5000, 0.0000), W at (0.0000, 0.5000, 0.5000) and Se at (0.5000, 0.5000, 0.5000).



No. 2
# DyEr2Cd6

DyEr2Cd6 after structural relaxation (PBE-GGA, the Alexandria database).

The value obtained for the formation energy is -0.30 eV per atom. As for the crystal system: hexagonal. The total energy is -21.96 eV/cell.

The structure belongs to space group P6/mmm (No. 191); the cell edges are 8.5929, 8.5929 and 3.4089 Å and the angles 90.00°, 90.00° and 120.00°. The distinct sites, in fractional coordinates, are Dy at (0.0000, 0.0000, 0.0000), Er at (0.3333, 0.6667, 0.0000) and Cd at (0.0000, 0.3340, 0.5000).



No. 3
# ZrTaTe2

ZrTaTe2 after structural relaxation (PBE-GGA, the Alexandria database).

The calculation puts the energy above the most stable polymorph in this dataset at 424 meV per atom. As for the crystal system: trigonal. The total energy is -79.90 eV/cell. As for the uncorrected formation energy: 0.01 eV per atom.

The structure belongs to space group R-3m (No. 166, hexagonal axes); the cell edges are 3.4553, 3.4553 and 29.2250 Å and the angles 90.00°, 90.00° and 120.00°. The distinct sites, in fractional coordinates, are Zr at (0.0000, 0.0000, 0.0000), Ta at (0.0000, 0.0000, 0.5000) and Te at (0.0000, 0.0000, 0.0997).



No. 4
# Pa2Al4ZnAu3

Pa2Al4ZnAu3 after structural relaxation (PBE-GGA, the Alexandria database).

The value obtained for the formation energy is -0.43 eV per atom. As for the crystal system: tetragonal. The total energy is -49.34 eV/cell.

The structure belongs to space group P-4m2 (No. 115); the cell edges are 4.2979, 4.2979 and 10.4836 Å and the angles 90.00°, 90.00° and 90.00°. The distinct sites, in fractional coordinates, are Pa at (0.0000, 0.5000, 0.2440), Al at (0.0000, 0.0000, 0.5000), Al at (0.0000, 0.5000, 0.8680), Al at (0.5000, 0.5000, 0.5000), Zn at (0.5000, 0.5000, 0.0000), Au at (0.0000, 0.0000, 0.0000) and Au at (0.0000, 0.5000, 0.6345).



No. 5
# HfTa3Ge2

HfTa3Ge2 after structural relaxation (PBE-GGA, the Alexandria database).

The value obtained for the formation energy is -0.31 eV per atom. As for the crystal system: monoclinic. The total energy is -226.41 eV/cell.

The structure belongs to space group C2/m (No. 12); the cell edges are 16.0274, 3.5568 and 8.2702 Å and the angles 90.00°, 113.96° and 90.00°. The distinct sites, in fractional coordinates, are Hf at (0.1174, 0.0000, 0.1319), Ta at (0.0522, 0.0000, 0.6633), Ta at (0.1467, 0.5000, 0.4680), Ta at (0.1838, 0.5000, 0.8967), Ge at (0.0089, 0.5000, 0.8488) and Ge at (0.2415, 0.0000, 0.7195).



No. 6
# GePd5Pb

GePd5Pb after structural relaxation (PBE-GGA, the Alexandria database).

The value obtained for the formation energy is -0.27 eV per atom. As for the crystal system: monoclinic. The total energy is -144.70 eV/cell.

The structure belongs to space group C2/c (No. 15); the cell edges are 7.1766, 7.5860 and 9.3307 Å and the angles 90.00°, 109.64° and 90.00°. The distinct sites, in fractional coordinates, are Ge at (0.0000, 0.0000, 0.0000), Pd at (0.0000, 0.1349, 0.2500), Pd at (0.1046, 0.3195, 0.5432), Pd at (0.2048, 0.1760, 0.8541) and Pb at (0.0000, 0.4918, 0.2500).